# Mg2Mo (PBE-GGA, optimized geometry)
# Energy in eV per atom: -4.202
# Distance to the lowest polymorph of the same formula in meV per atom: 209
# Total magnetic moment in μB/f.u.: 0.0
data_Mg2Mo
_chemical_formula_sum 'Mg8 Mo4'
_symmetry_space_group_name_H-M 'C m c m'
_symmetry_Int_Tables_number 63
_symmetry_space_group_name_Hall '-C 2c 2'
_cell_length_a 2.813
_cell_length_b 15.541
_cell_length_c 4.938
_cell_angle_alpha 90.00
_cell_angle_beta 90.00
_cell_angle_gamma 90.00
loop_
_atom_site_label
_atom_site_fract_x
_atom_site_fract_y
_atom_site_fract_z
_atom_site_occupancy
Mg1 0.000 0.057 0.250 1
Mg2 0.000 0.275 0.750 1
Mo1 0.000 0.394 0.250 1

***

# NdSi4Pd3 (PBE-GGA, optimized geometry)
# Energy in eV per atom: -5.727
# Total magnetic moment in μB/f.u.: 0.0
data_NdSi4Pd3
_chemical_formula_sum 'Nd1 Si4 Pd3'
_symmetry_space_group_name_H-M 'P 1 m 1'
_symmetry_Int_Tables_number 6
_symmetry_space_group_name_Hall 'P -2y'
_cell_length_a 4.744
_cell_length_b 4.070
_cell_length_c 7.286
_cell_angle_alpha 90.00
_cell_angle_beta 91.94
_cell_angle_gamma 90.00
loop_
_atom_site_label
_atom_site_fract_x
_atom_site_fract_y
_atom_site_fract_z
_atom_site_occupancy
Nd1 0.000 0.000 0.000 1
Si1 0.225 0.500 0.735 1
Si2 0.509 0.000 0.750 1
Si3 0.643 0.000 0.358 1
Si4 0.977 0.500 0.300 1
Pd1 0.156 0.000 0.480 1
Pd2 0.474 0.500 0.202 1
Pd3 0.741 0.500 0.607 1